No. 1
TlAg2GeCl6 (PBE, optimized geometry); space-group type = No. 15; calculated total energy = -60.44 eV for the cell shown; uncorrected formation energy = -0.65 eV per atom
1.0
-0.5617 7.3392 -0.9661
-8.7869 0.0167 1.0762
1.5005 1.7864 8.5396
Tl Ag Ge Cl
2 4 2 12
Direct
0.2500 0.9109 0.0891
0.7500 0.0891 0.9109
0.1816 0.7544 0.5605
0.3184 0.4395 0.2456
0.8184 0.2456 0.4395
0.6816 0.5605 0.7544
0.2500 0.2753 0.7247
0.7500 0.7247 0.2753
0.1476 0.0084 0.7380
0.3524 0.2620 0.9916
0.8524 0.9916 0.2620
0.6476 0.7380 0.0084
0.4421 0.8237 0.3805
0.0579 0.6195 0.1763
0.5579 0.1763 0.6195
0.9421 0.3805 0.8237
0.8475 0.7146 0.5458
0.6525 0.4542 0.2854
0.1525 0.2854 0.4542
0.3475 0.5458 0.7146

***

No. 2
MnAgPb (PBE, optimized geometry); space-group type = No. 156; calculated total energy = -14.53 eV for the cell shown; energy of formation = 400 meV per atom
1.0
-3.2030 -3.0997 1.4880
3.1152 1.7953 3.0256
-2.0466 2.4332 0.6634
Ag Mn Pb
1 1 1
Direct
0.0000 0.0000 0.0135
0.6667 0.3333 0.3191
0.3333 0.6667 0.6674